Record 1
# Ni2AgIr, optimized geometry, DFT GGA-PBE
data_Ni2AgIr
_space_group_name_H-M_alt 'I m m m'
_space_group_IT_number 71
_space_group_name_Hall '-I 2 2'
_cell_length_a 2.7350
_cell_length_b 4.6306
_cell_length_c 8.8401
_cell_angle_alpha 90.00
_cell_angle_beta 90.00
_cell_angle_gamma 90.00
loop_
_atom_site_label
_atom_site_type_symbol
_atom_site_fract_x
_atom_site_fract_y
_atom_site_fract_z
Ni1 Ni 0.0000 0.0000 0.2392
Ag1 Ag 0.0000 0.5000 0.0000
Ir1 Ir 0.0000 0.5000 0.5000
# Energy of formation from the pure elements: 153 kJ/mol of formula units



Record 2
# MgScRe4, optimized geometry, DFT GGA-PBE
data_MgScRe4
_space_group_name_H-M_alt 'F -4 3 m'
_space_group_IT_number 216
_space_group_name_Hall 'F -4 2 3'
_cell_length_a 7.4498
_cell_length_b 7.4498
_cell_length_c 7.4498
_cell_angle_alpha 90.00
_cell_angle_beta 90.00
_cell_angle_gamma 90.00
loop_
_atom_site_label
_atom_site_type_symbol
_atom_site_fract_x
_atom_site_fract_y
_atom_site_fract_z
Mg1 Mg 0.0000 0.0000 0.0000
Sc1 Sc 0.2500 0.2500 0.2500
Re1 Re 0.1251 0.1251 0.6251
# Energy of formation from the pure elements: -38 kJ/mol of formula units



Record 3
Compound: In2SiH
Source: Alexandria
Functional: GGA-PBE
Structure: optimized geometry

Cell and atoms, written as CIF:
```
data_In2SiH
_space_group_name_H-M_alt 'F m -3 m'
_space_group_IT_number 225
_space_group_name_Hall '-F 4 2 3'
_cell_length_a 6.6352
_cell_length_b 6.6352
_cell_length_c 6.6352
_cell_angle_alpha 90.00
_cell_angle_beta 90.00
_cell_angle_gamma 90.00
loop_
_atom_site_label
_atom_site_type_symbol
_atom_site_fract_x
_atom_site_fract_y
_atom_site_fract_z
In1 In 0.2500 0.2500 0.2500
Si1 Si 0.0000 0.0000 0.0000
H1 H 0.0000 0.0000 0.5000
```



Record 4
# Ba3In3Ag2, optimized geometry, DFT GGA-PBE
data_Ba3In3Ag2
_space_group_name_H-M_alt 'C m c m'
_space_group_IT_number 63
_space_group_name_Hall '-C 2c 2'
_cell_length_a 5.2261
_cell_length_b 11.7476
_cell_length_c 17.4242
_cell_angle_alpha 90.00
_cell_angle_beta 90.00
_cell_angle_gamma 90.00
loop_
_atom_site_label
_atom_site_type_symbol
_atom_site_fract_x
_atom_site_fract_y
_atom_site_fract_z
Ba1 Ba 0.0000 0.0929 0.1072
Ba2 Ba 0.0000 0.3865 0.2500
In1 In 0.0000 0.3131 0.7500
In2 In 0.0000 0.3780 0.0378
Ag1 Ag 0.0000 0.2049 0.5980
# Energy of formation from the pure elements: -264 kJ/mol of formula units



Record 5
# BaZrTa, optimized geometry, DFT GGA-PBE
data_BaZrTa
_space_group_name_H-M_alt 'P 3 m 1'
_space_group_IT_number 156
_cell_length_a 3.2838
_cell_length_b 3.2838
_cell_length_c 8.6297
_cell_angle_alpha 90.00
_cell_angle_beta 90.00
_cell_angle_gamma 120.00
loop_
_space_group_symop_operation_xyz
'x,y,z'
'-y,x-y,z'
'-x+y,-x,z'
'-y,-x,z'
'-x+y,y,z'
'x,x-y,z'
loop_
_atom_site_label
_atom_site_type_symbol
_atom_site_fract_x
_atom_site_fract_y
_atom_site_fract_z
Ba1 Ba 0.0000 0.0000 0.0000
Zr1 Zr 0.3333 0.6667 0.6111
Ta1 Ta 0.6667 0.3333 0.3497
# Energy of formation from the pure elements: 232 kJ/mol of formula units



Let's list energy in order: -5.42; -9.69; -3.08; -2.80; -6.64 eV/atom.